(1)
Computed, not measured: a geometry-optimized Al2TlPt structure at the PBE-GGA level of DFT.

a = 4.268 Å, b = 4.264 Å, c = 3.994 Å
α = 90.00°, β = 90.00°, γ = 90.00°
Element x y z (fractional)
1 Tl 0.000 0.500 0.500
2 Al 0.000 0.000 0.000
3 Al 0.500 0.500 0.000
4 Pt 0.500 0.000 0.500

ρ   10358 kg/m3
Energy above the lowest structure with this stoichiometry   353 meV per atom
DFT total energy   -0.2911 Ry per atom
V   18.17 Å³ per atom
Energy of formation   0.01 eV/atom


(2)
Computed, not measured: a geometry-optimized Al4Fe structure at the PBE-GGA level of DFT.

a = 4.530 Å, b = 4.530 Å, c = 4.530 Å
α = 90.00°, β = 90.00°, γ = 90.00°
Element x y z (fractional)
1 Fe 0.500 0.500 0.500
2 Al 0.000 0.000 0.000
3 Al 0.500 0.000 0.500
4 Al 0.000 0.500 0.500
5 Al 0.500 0.500 0.000

ρ   2926 kg/m3
Energy above the lowest structure with this stoichiometry   359 meV per atom
DFT total energy   -0.3320 Ry per atom
V   18.59 Å³ per atom
Energy of formation   0.17 eV/atom


(3)
Computed, not measured: a geometry-optimized BaBrN2 structure at the PBE-GGA level of DFT.

a = 6.756 Å, b = 6.756 Å, c = 6.756 Å
α = 38.56°, β = 38.56°, γ = 38.56°
Last column: magnetic moment on the atom in μB.
Element x y z (fractional)
1 Ba 0.500 0.500 0.500  0.07
2 Br 0.000 0.000 0.000  0.30
3 N 0.895 0.895 0.895  0.87
4 N 0.105 0.105 0.105  0.87

E_form (uncorrected)   2.962 eV/f.u.
ρ   3784 kg/m3
Energy above the lowest structure with this stoichiometry   1607 meV per atom
DFT total energy   -0.3176 Ry per atom
V   26.91 Å³ per atom


(4)
Computed, not measured: a geometry-optimized Pr2HoPd structure at the PBE-GGA level of DFT.

a = 3.733 Å, b = 3.733 Å, c = 8.395 Å
α = 90.00°, β = 90.00°, γ = 90.00°
Element x y z (fractional)
1 Pr 0.000 0.000 0.793
2 Pr 0.000 0.000 0.207
3 Ho 0.500 0.500 0.500
4 Pd 0.500 0.500 0.000

ρ   7851 kg/m3
Energy above the lowest structure with this stoichiometry   79 meV per atom
DFT total energy   -0.3772 Ry per atom
V   29.25 Å³ per atom
Energy of formation   -0.30 eV/atom


(5)
Computed, not measured: a geometry-optimized CsMnNb3 structure at the PBE-GGA level of DFT.

a = 4.841 Å, b = 4.841 Å, c = 4.841 Å
α = 90.00°, β = 90.00°, γ = 90.00°
Element x y z (fractional)
1 Cs 0.500 0.500 0.500
2 Nb 0.000 0.500 0.000
3 Nb 0.000 0.000 0.500
4 Nb 0.500 0.000 0.000
5 Mn 0.000 0.000 0.000

ρ   6828 kg/m3
Energy above the lowest structure with this stoichiometry   0 meV per atom
DFT total energy   -0.4922 Ry per atom
V   22.69 Å³ per atom
Energy of formation   1.35 eV/atom


(6)
Computed, not measured: a geometry-optimized CoW structure at the PBE-GGA level of DFT.

a = 7.054 Å, b = 7.054 Å, c = 4.017 Å
α = 90.00°, β = 90.00°, γ = 120.00°
Element x y z (fractional)
1 Co 0.779 0.960 0.250
2 Co 0.819 0.779 0.750
3 Co 0.040 0.819 0.250
4 Co 0.221 0.040 0.750
5 Co 0.181 0.221 0.250
6 Co 0.960 0.181 0.750
7 W 0.902 0.363 0.250
8 W 0.538 0.902 0.750
9 W 0.637 0.538 0.250
10 W 0.098 0.637 0.750
11 W 0.462 0.098 0.250
12 W 0.363 0.462 0.750

ρ   13970 kg/m3
DFT total energy   -0.7019 Ry per atom
V   14.43 Å³ per atom
Energy of formation   0.48 eV/atom


(7)
Computed, not measured: a geometry-optimized NbFeTeAuS structure at the PBE-GGA level of DFT.

a = 6.643 Å, b = 3.457 Å, c = 8.545 Å
α = 90.00°, β = 102.86°, γ = 90.00°
Last column: magnetic moment on the atom in μB.
Element x y z (fractional)
1 S 0.743 0.000 0.004  -0.01
2 S 0.743 0.500 0.504  -0.01
3 Nb 0.786 0.000 0.725  -0.04
4 Nb 0.786 0.500 0.225  -0.04
5 Te 0.123 0.000 0.337  0.00
6 Te 0.123 0.500 0.837  0.00
7 Au 0.351 0.000 0.649  0.00
8 Au 0.351 0.500 0.149  0.00
9 Fe 0.544 0.000 0.389  2.27
10 Fe 0.544 0.500 0.889  2.27

E_form (uncorrected)   -1.042 eV/f.u.
ρ   8773 kg/m3
Energy above the lowest structure with this stoichiometry   25 meV per atom
DFT total energy   -0.4428 Ry per atom
V   19.13 Å³ per atom


(8)
Computed, not measured: a geometry-optimized SrCu3Au structure at the PBE-GGA level of DFT.

a = 4.869 Å, b = 4.869 Å, c = 4.869 Å
α = 90.00°, β = 90.00°, γ = 90.00°
Element x y z (fractional)
1 Sr 0.500 0.500 0.500
2 Au 0.000 0.000 0.000
3 Cu 0.000 0.500 0.000
4 Cu 0.000 0.000 0.500
5 Cu 0.500 0.000 0.000

ρ   6835 kg/m3
Energy above the lowest structure with this stoichiometry   0 meV per atom
DFT total energy   -0.2428 Ry per atom
V   23.09 Å³ per atom
Energy of formation   0.15 eV/atom


(9)
Computed, not measured: a geometry-optimized PdAu3Br structure at the PBE-GGA level of DFT.

a = 5.070 Å, b = 5.070 Å, c = 5.070 Å
α = 90.00°, β = 90.00°, γ = 90.00°
Element x y z (fractional)
1 Au 0.000 0.500 0.000
2 Au 0.000 0.000 0.500
3 Au 0.500 0.000 0.000
4 Br 0.000 0.000 0.000
5 Pd 0.500 0.500 0.500

E_form (uncorrected)   5.603 eV/f.u.
ρ   9901 kg/m3
Energy above the lowest structure with this stoichiometry   349 meV per atom
DFT total energy   -0.1631 Ry per atom
V   26.07 Å³ per atom


(10)
Computed, not measured: a geometry-optimized MgAgRh2 structure at the PBE-GGA level of DFT.

a = 4.909 Å, b = 4.909 Å, c = 4.909 Å
α = 132.71°, β = 132.71°, γ = 69.11°
Element x y z (fractional)
1 Ag 0.250 0.750 0.500
2 Mg 0.750 0.250 0.500
3 Rh 0.000 0.000 0.000
4 Rh 0.500 0.500 0.000

ρ   8954 kg/m3
DFT total energy   -0.3547 Ry per atom
V   15.67 Å³ per atom
Energy of formation   -0.04 eV/atom


(11)
Computed, not measured: a geometry-optimized Pu2NpO6 structure at the PBE-GGA level of DFT.

a = 3.812 Å, b = 5.389 Å, c = 6.593 Å
α = 114.13°, β = 106.80°, γ = 90.00°
Last column: magnetic moment on the atom in μB.
Element x y z (fractional)
1 Pu 0.333 0.333 0.667  4.38
2 Pu 0.667 0.667 0.333  4.38
3 Np 0.000 0.000 0.000  2.85
4 O 0.836 0.083 0.672  -0.13
5 O 0.164 0.411 0.328  -0.13
6 O 0.164 0.917 0.328  -0.13
7 O 0.500 0.245 0.000  -0.12
8 O 0.836 0.589 0.672  -0.13
9 O 0.500 0.755 0.000  -0.12

E_form (uncorrected)   -28.371 eV/f.u.
ρ   11628 kg/m3
DFT total energy   -0.8144 Ry per atom
V   13.03 Å³ per atom


(12)
Computed, not measured: a geometry-optimized Mn2ZnBr structure at the PBE-GGA level of DFT.

a = 3.254 Å, b = 3.252 Å, c = 6.617 Å
α = 90.00°, β = 90.00°, γ = 90.00°
Last column: magnetic moment on the atom in μB.
Element x y z (fractional)
1 Br 0.500 0.500 0.750  0.05
2 Mn 0.000 0.000 0.047  3.56
3 Mn 0.000 0.000 0.453  3.56
4 Zn 0.500 0.500 0.250  -0.09

E_form (uncorrected)   1.260 eV/f.u.
ρ   6051 kg/m3
Energy above the lowest structure with this stoichiometry   118 meV per atom
DFT total energy   -0.3680 Ry per atom
V   17.51 Å³ per atom


What did the fourth record say?
Computed, not measured: a geometry-optimized Pr2HoPd structure at the PBE-GGA level of DFT.

a = 3.733 Å, b = 3.733 Å, c = 8.395 Å
α = 90.00°, β = 90.00°, γ = 90.00°
Element x y z (fractional)
1 Pr 0.000 0.000 0.793
2 Pr 0.000 0.000 0.207
3 Ho 0.500 0.500 0.500
4 Pd 0.500 0.500 0.000

ρ   7851 kg/m3
Energy above the lowest structure with this stoichiometry   79 meV per atom
DFT total energy   -0.3772 Ry per atom
V   29.25 Å³ per atom
Energy of formation   -0.30 eV/atom


Which formula does entry 10 have?
MgAgRh2